VASP calculation (PBE) on Er2ZrAl after structural relaxation.

The space group is P4/mmm (No. 123) and the conventional cell measures 3.4030, 3.4030 and 8.5901 Å, with angles of 90.00, 90.00 and 90.00 degrees. The distinct sites, in fractional coordinates, are Er at (0.0000, 0.0000, 0.2309), Zr at (0.5000, 0.5000, 0.5000) and Al at (0.5000, 0.5000, 0.0000).

The magnetic moment comes out at 0.00 μB/cell. As for the density of states at the Fermi level: 3.44 states/eV per cell. Its volume is 99.5 Å³/f.u. For the formation energy, the calculation gives -164 meV per atom.